# NdTm2Pb

An optimized crystal structure of NdTm2Pb (PBE-GGA, the Alexandria database).

* SG: P2_1/m (11)
* M_tot: 0.000 μB/atom
* formation energy from the elements: -1.25 eV/f.u.
* VASP energy: -4.666 eV/atom

Cell: 4.661 4.752 11.490 Å, 90.00 101.64 90.00°
Positions (direct):
1 Nd 0.190 0.250 0.383
2 Nd 0.810 0.750 0.617
3 Tm 0.055 0.750 0.110
4 Tm 0.439 0.750 0.877
5 Tm 0.561 0.250 0.123
6 Tm 0.945 0.250 0.890
7 Pb 0.339 0.250 0.675
8 Pb 0.661 0.750 0.325

# B5C7

An optimized crystal structure of B5C7 (PBE-GGA, the Alexandria database).

* SG: Cm (8)
* M_tot: 0.000 μB/atom
* formation energy from the elements: 4.03 eV/f.u.
* VASP energy: -7.827 eV/atom

Cell: 4.513 4.513 8.271 Å, 118.29 118.29 32.04°
Positions (direct):
1 B 0.000 0.000 0.000
2 B 0.280 0.280 0.174
3 B 0.476 0.476 0.652
4 B 0.507 0.507 0.162
5 B 0.791 0.791 0.333
6 C 0.132 0.132 0.489
7 C 0.170 0.170 0.956
8 C 0.308 0.308 0.688
9 C 0.626 0.626 0.380
10 C 0.666 0.666 0.853
11 C 0.814 0.814 0.797
12 C 0.974 0.974 0.524

# Ti8SiN2

An optimized crystal structure of Ti8SiN2 (PBE-GGA, the Alexandria database).

* SG: C2/m (12)
* M_tot: 0.000 μB/atom
* VASP energy: -8.325 eV/atom

Cell: 6.272 6.272 4.201 Å, 96.01 96.01 113.04°
Positions (direct):
1 Ti 0.102 0.102 0.808
2 Ti 0.165 0.422 0.434
3 Ti 0.247 0.753 0.000
4 Ti 0.422 0.165 0.434
5 Ti 0.578 0.835 0.566
6 Ti 0.753 0.247 0.000
7 Ti 0.835 0.578 0.566
8 Ti 0.898 0.898 0.192
9 Si 0.500 0.500 0.000
10 N 0.193 0.807 0.500
11 N 0.807 0.193 0.500

# Co2ReRu

An optimized crystal structure of Co2ReRu (PBE-GGA, the Alexandria database).

* SG: C2/m (12)
* M_tot: 0.463 μB/atom
* formation energy from the elements: 0.63 eV/f.u.
* VASP energy: -8.828 eV/atom

Cell: 8.579 2.651 4.562 Å, 90.00 100.46 90.00°
Positions (direct):
1 Co 0.250 0.000 0.243
2 Co 0.250 0.500 0.757
3 Co 0.750 0.000 0.757
4 Co 0.750 0.500 0.243
5 Re 0.000 0.500 0.000
6 Re 0.500 0.000 0.000
7 Ru 0.000 0.000 0.500
8 Ru 0.500 0.500 0.500

# B5C7

An optimized crystal structure of B5C7 (PBE-GGA, the Alexandria database).

* SG: C2 (5)
* M_tot: 0.000 μB/atom
* formation energy from the elements: 4.40 eV/f.u.
* VASP energy: -7.796 eV/atom

Cell: 4.777 4.777 5.440 Å, 112.85 112.85 44.29°
Positions (direct):
1 B 0.000 0.000 0.000
2 B 0.361 0.315 0.674
3 B 0.612 0.092 0.401
4 B 0.685 0.639 0.326
5 B 0.908 0.388 0.599
6 C 0.042 0.958 0.500
7 C 0.269 0.721 0.262
8 C 0.279 0.731 0.738
9 C 0.332 0.333 0.156
10 C 0.570 0.071 0.920
11 C 0.667 0.668 0.844
12 C 0.929 0.430 0.080

# Li2FeSe

An optimized crystal structure of Li2FeSe (PBE-GGA, the Alexandria database).

* SG: I4/mmm (139)
* M_tot: 0.545 μB/atom
* VASP energy: -4.075 eV/atom

Cell: 3.674 3.674 8.430 Å, 90.00 90.00 90.00°
Positions (direct):
1 Li 0.000 0.500 0.250
2 Li 0.000 0.500 0.750
3 Li 0.500 0.000 0.250
4 Li 0.500 0.000 0.750
5 Fe 0.000 0.000 0.000
6 Fe 0.500 0.500 0.500
7 Se 0.000 0.000 0.500
8 Se 0.500 0.500 0.000

- M_tot of number 2 (B5C7)?
  0.000 μB/atom

- Look up the VASP energy of the sixth one.
  -4.075 eV/atom